No. 1
# GdCuNi PBE optimized geometry
# Formation enthalpy at 0 K in eV/atom: -0.15
# DOS(E_F) in states/eV/cell: 2.596
data_GdCuNi
_symmetry_space_group_name_H-M 'P 1'
_symmetry_Int_Tables_number 1
_cell_length_a 3.381
_cell_length_b 3.381
_cell_length_c 5.139
_cell_angle_alpha 109.20
_cell_angle_beta 109.20
_cell_angle_gamma 90.00
loop_
_symmetry_equiv_pos_as_xyz
'x,y,z'
loop_
_atom_site_label
_atom_site_type_symbol
_atom_site_fract_x
_atom_site_fract_y
_atom_site_fract_z
_atom_site_occupancy
Ni1 Ni 0.262 0.262 0.525 1
Gd1 Gd 0.946 0.946 0.891 1
Cu1 Cu 0.642 0.642 0.284 1



No. 2
# Gd2CuNi PBE optimized geometry
# Formation enthalpy at 0 K in eV/atom: 0.29
# Polymorph energy (0 for the lowest one) in meV/atom: 565
# DOS(E_F) in states/eV/cell: 3.709
data_Gd2CuNi
_symmetry_space_group_name_H-M 'P 1'
_symmetry_Int_Tables_number 1
_cell_length_a 3.790
_cell_length_b 3.790
_cell_length_c 9.071
_cell_angle_alpha 77.94
_cell_angle_beta 77.94
_cell_angle_gamma 60.00
loop_
_symmetry_equiv_pos_as_xyz
'x,y,z'
loop_
_atom_site_label
_atom_site_type_symbol
_atom_site_fract_x
_atom_site_fract_y
_atom_site_fract_z
_atom_site_occupancy
Ni1 Ni 0.500 0.500 0.500 1
Gd1 Gd 0.107 0.107 0.680 1
Gd2 Gd 0.893 0.893 0.320 1
Cu1 Cu 0.000 0.000 0.000 1



No. 3
# GdCuNiPb PBE optimized geometry
# Formation enthalpy at 0 K in eV/atom: -0.21
# DOS(E_F) in states/eV/cell: 2.560
data_GdCuNiPb
_symmetry_space_group_name_H-M 'P 1'
_symmetry_Int_Tables_number 1
_cell_length_a 4.743
_cell_length_b 4.743
_cell_length_c 4.743
_cell_angle_alpha 60.00
_cell_angle_beta 60.00
_cell_angle_gamma 60.00
loop_
_symmetry_equiv_pos_as_xyz
'x,y,z'
loop_
_atom_site_label
_atom_site_type_symbol
_atom_site_fract_x
_atom_site_fract_y
_atom_site_fract_z
_atom_site_occupancy
Pb1 Pb 0.500 0.500 0.500 1
Ni1 Ni 0.750 0.750 0.750 1
Gd1 Gd 0.000 0.000 0.000 1
Cu1 Cu 0.250 0.250 0.250 1